PBE-GGA Ce5Sb4As, relaxed; space-group type = No. 87; E_tot = -6.181 eV per atom; formation energy from raw total energies = -1.10 eV/atom; offset from the most stable computed form = 0 meV per atom
1.0
6.296 0.000 0.000
3.148 7.024 0.000
3.148 0.000 7.024
Sb Ce As
4 5 1
Cartesian
9.450 5.570 4.229 Sb
6.302 2.794 5.570 Sb
3.154 1.454 2.794 Sb
6.302 4.229 1.454 Sb
6.302 1.339 2.715 Ce
9.450 2.715 5.685 Ce
6.302 5.685 4.309 Ce
3.154 4.309 1.339 Ce
3.155 0.000 0.000 Ce
0.008 0.000 0.000 As